Here is KBa2Hg after structural relaxation from Alexandria via LeMat-Bulk. Energies are from PBE.

The space group is Imm2 (No. 44) and the conventional cell measures 4.291, 6.199 and 15.215 Å, with angles of 90.00, 90.00 and 90.00 degrees. The inequivalent atoms are K at (0.000, 0.000, 0.000), Ba at (0.000, 0.000, 0.631), Ba at (0.000, 0.500, 0.818) and Hg at (0.000, 0.500, 0.307).

As for the total energy: -1.46 eV per atom. As for the formation energy: -0.6 eV/f.u.

Here is K2CuSb after structural relaxation from Alexandria via LeMat-Bulk. Energies are from PBE.

The space group is R-3m (No. 166, hexagonal axes) and the conventional cell measures 3.8661, 3.8661 and 31.3241 Å, with angles of 90.00, 90.00 and 120.00 degrees. The inequivalent atoms are K at (0.0000, 0.0000, 0.2437), Cu at (0.0000, 0.0000, 0.5000) and Sb at (0.0000, 0.0000, 0.0000).

As for the total energy: -2.32 eV per atom.

Here is MnHgCl after structural relaxation from Alexandria via LeMat-Bulk. Energies are from PBE.

The space group is P3m1 (No. 156) and the conventional cell measures 3.5098, 3.5098 and 6.6522 Å, with angles of 90.00, 90.00 and 120.00 degrees. The inequivalent atoms are Mn at (0.0000, 0.0000, 0.0000), Hg at (0.3333, 0.6667, 0.7108) and Cl at (0.6667, 0.3333, 0.2169).

As for the total energy: -3.99 eV per atom. The value obtained for the polymorph energy (0 for the lowest one) is 0 meV per atom.

Here is NiH6Pd2 after structural relaxation from Alexandria via LeMat-Bulk. Energies are from PBE.

The space group is P4_2/mnm (No. 136) and the conventional cell measures 4.058, 4.058 and 8.281 Å, with angles of 90.00, 90.00 and 90.00 degrees. The inequivalent atoms are Ni at (0.000, 0.000, 0.000), H at (0.185, 0.185, 0.154), H at (0.203, 0.203, 0.500) and Pd at (0.000, 0.000, 0.330).

As for the total energy: -4.00 eV per atom.

Here is IrCl3 after structural relaxation from Alexandria via LeMat-Bulk. Energies are from PBE.

The space group is P6_3/mmc (No. 194) and the conventional cell measures 9.6585, 9.6585 and 3.3921 Å, with angles of 90.00, 90.00 and 120.00 degrees. The inequivalent atoms are Ir at (0.3333, 0.6667, 0.2500) and Cl at (0.2310, 0.4621, 0.7500).

As for the total energy: -3.61 eV per atom.

Here is Cs2TaCl4F2 after structural relaxation from Alexandria via LeMat-Bulk. Energies are from PBE.

The space group is C2/m (No. 12) and the conventional cell measures 11.995, 7.549 and 5.958 Å, with angles of 90.00, 99.72 and 90.00 degrees. The inequivalent atoms are Cs at (0.167, 0.000, 0.318), Ta at (0.000, 0.500, 0.000), Cl at (0.092, 0.266, 0.809) and F at (0.128, 0.500, 0.246).

As for the total energy: -4.89 eV per atom.

| no. | magnetization (Bohr magnetons per cell) |
| --- | --- |
| 1 | 0.00 |
| 2 | 0.55 |
| 3 | 4.19 |
| 4 | 0.00 |
| 5 | 0.00 |
| 6 | 2.00 |